#w
Crystalline PmHo6Sc3 at its relaxed geometry, computed with PBE-GGA.

Geometry as CIF:
```
data_PmHo6Sc3
_symmetry_space_group_name_H-M 'C m c 21'
_symmetry_Int_Tables_number 36
_symmetry_space_group_name_Hall 'C 2c -2'
_cell_length_a 10.2312
_cell_length_b 18.6846
_cell_length_c 6.2026
_cell_angle_alpha 90.00
_cell_angle_beta 90.00
_cell_angle_gamma 90.00
loop_
_atom_site_label
_atom_site_fract_x
_atom_site_fract_y
_atom_site_fract_z
_atom_site_occupancy
Pm1 0.0000 0.2114 0.0000 1
Ho1 0.0000 0.0451 0.3517 1
Ho2 0.0000 0.3122 0.5321 1
Ho3 0.1698 0.4646 0.6800 1
Ho4 0.2322 0.2030 0.3471 1
Sc1 0.0000 0.3853 0.0727 1
Sc2 0.1938 0.1146 0.7799 1
```

Theoretical density, g cm⁻³: 7.1
DOS at the Fermi energy, states/eV/cell: 48.935
M_tot, μB per atom: 0.000

#x
Crystalline PmHo6Sc3 at its relaxed geometry, computed with PBE-GGA.

Geometry as CIF:
```
data_PmHo6Sc3
_symmetry_space_group_name_H-M 'R 3'
_symmetry_Int_Tables_number 146
_symmetry_space_group_name_Hall 'R 3'
_cell_length_a 9.5872
_cell_length_b 9.5872
_cell_length_c 11.2673
_cell_angle_alpha 90.00
_cell_angle_beta 90.00
_cell_angle_gamma 120.00
loop_
_atom_site_label
_atom_site_fract_x
_atom_site_fract_y
_atom_site_fract_z
_atom_site_occupancy
Pm1 0.0000 0.0000 0.0000 1
Ho1 0.0004 0.3415 0.0008 1
Ho2 0.0001 0.6643 0.5007 1
Sc1 0.0000 0.0000 0.2593 1
Sc2 0.0000 0.0000 0.4997 1
Sc3 0.0000 0.0000 0.7398 1
```

Theoretical density, g cm⁻³: 7.1
DOS at the Fermi energy, states/eV/cell: 55.085
M_tot, μB per atom: 0.102

Most favorable structure: #w. The second most favorable one is 2.7 kJ/mol of atoms above it.

#w
Crystalline Pm2HoSc2 at its relaxed geometry, computed with PBE-GGA.

Geometry as CIF:
```
data_Pm2HoSc2
_symmetry_space_group_name_H-M 'C 1 2/c 1'
_symmetry_Int_Tables_number 15
_symmetry_space_group_name_Hall '-C 2yc'
_cell_length_a 8.8839
_cell_length_b 15.6859
_cell_length_c 5.6295
_cell_angle_alpha 90.00
_cell_angle_beta 129.22
_cell_angle_gamma 90.00
loop_
_atom_site_label
_atom_site_fract_x
_atom_site_fract_y
_atom_site_fract_z
_atom_site_occupancy
Pm1 0.2473 0.0629 0.4976 1
Ho1 0.0000 0.1511 0.7500 1
Sc1 0.0000 0.2558 0.2500 1
Sc2 0.0000 0.3705 0.7500 1
```

Theoretical density, g cm⁻³: 6.0
DOS at the Fermi energy, states/eV/cell: 33.650
M_tot, μB per atom: 0.000

#x
Crystalline Pm2HoSc2 at its relaxed geometry, computed with PBE-GGA.

Geometry as CIF:
```
data_Pm2HoSc2
_symmetry_space_group_name_H-M 'I m m a'
_symmetry_Int_Tables_number 74
_symmetry_space_group_name_Hall '-I 2b 2'
_cell_length_a 5.6604
_cell_length_b 11.4400
_cell_length_c 9.5059
_cell_angle_alpha 90.00
_cell_angle_beta 90.00
_cell_angle_gamma 90.00
loop_
_atom_site_label
_atom_site_fract_x
_atom_site_fract_y
_atom_site_fract_z
_atom_site_occupancy
Pm1 0.0000 0.0750 0.1624 1
Ho1 0.0000 0.2500 0.8537 1
Sc1 0.0000 0.1149 0.5534 1
```

Theoretical density, g cm⁻³: 5.9
DOS at the Fermi energy, states/eV/cell: 35.610
M_tot, μB per atom: 0.000

Most favorable structure: #w. The second most favorable one is 1.8 kJ/mol of atoms above it.

#w
Crystalline PmHo6Sc2 at its relaxed geometry, computed with PBE-GGA.

Geometry as CIF:
```
data_PmHo6Sc2
_symmetry_space_group_name_H-M 'C 1 2/c 1'
_symmetry_Int_Tables_number 15
_symmetry_space_group_name_Hall '-C 2yc'
_cell_length_a 13.1543
_cell_length_b 11.3888
_cell_length_c 8.8327
_cell_angle_alpha 90.00
_cell_angle_beta 125.14
_cell_angle_gamma 90.00
loop_
_atom_site_label
_atom_site_fract_x
_atom_site_fract_y
_atom_site_fract_z
_atom_site_occupancy
Pm1 0.0000 0.0796 0.2500 1
Ho1 0.0827 0.3811 0.9844 1
Ho2 0.1518 0.3490 0.4081 1
Ho3 0.2088 0.0925 0.1338 1
Sc1 0.1097 0.1692 0.6986 1
```

Theoretical density, g cm⁻³: 7.5
DOS at the Fermi energy, states/eV/cell: 50.263
M_tot, μB per atom: 0.000

#x
Crystalline PmHo6Sc2 at its relaxed geometry, computed with PBE-GGA.

Geometry as CIF:
```
data_PmHo6Sc2
_symmetry_space_group_name_H-M 'C 1 2/c 1'
_symmetry_Int_Tables_number 15
_symmetry_space_group_name_Hall '-C 2yc'
_cell_length_a 13.3683
_cell_length_b 12.8483
_cell_length_c 6.5125
_cell_angle_alpha 90.00
_cell_angle_beta 103.63
_cell_angle_gamma 90.00
loop_
_atom_site_label
_atom_site_fract_x
_atom_site_fract_y
_atom_site_fract_z
_atom_site_occupancy
Pm1 0.0000 0.1427 0.2500 1
Ho1 0.0256 0.3575 0.9977 1
Ho2 0.1215 0.0840 0.8225 1
Ho3 0.2437 0.2937 0.7375 1
Sc1 0.1801 0.4703 0.3707 1
```

Theoretical density, g cm⁻³: 7.5
DOS at the Fermi energy, states/eV/cell: 40.285
M_tot, μB per atom: 0.000

Most favorable structure: #w. The second most favorable one is 4.2 kJ/mol of atoms above it.

#w
Crystalline Pm4Ho7Sc at its relaxed geometry, computed with PBE-GGA.

Geometry as CIF:
```
data_Pm4Ho7Sc
_symmetry_space_group_name_H-M 'C 1 2/m 1'
_symmetry_Int_Tables_number 12
_symmetry_space_group_name_Hall '-C 2y'
_cell_length_a 11.3914
_cell_length_b 5.3201
_cell_length_c 13.0989
_cell_angle_alpha 90.00
_cell_angle_beta 104.34
_cell_angle_gamma 90.00
loop_
_atom_site_label
_atom_site_fract_x
_atom_site_fract_y
_atom_site_fract_z
_atom_site_occupancy
Pm1 0.0382 0.0000 0.2835 1
Pm2 0.1776 0.5000 0.7629 1
Ho1 0.0000 0.5000 0.5000 1
Ho2 0.0883 0.5000 0.1288 1
Ho3 0.1382 0.0000 0.9655 1
Ho4 0.2338 0.5000 0.3990 1
Sc1 0.0000 0.0000 0.5000 1
```

Theoretical density, g cm⁻³: 7.7
DOS at the Fermi energy, states/eV/cell: 32.465
M_tot, μB per atom: 0.028

#x
Crystalline Pm4Ho7Sc at its relaxed geometry, computed with PBE-GGA.

Geometry as CIF:
```
data_Pm4Ho7Sc
_symmetry_space_group_name_H-M 'P -1'
_symmetry_Int_Tables_number 2
_symmetry_space_group_name_Hall '-P 1'
_cell_length_a 5.9664
_cell_length_b 6.9206
_cell_length_c 9.9008
_cell_angle_alpha 70.50
_cell_angle_beta 86.74
_cell_angle_gamma 89.75
loop_
_atom_site_label
_atom_site_fract_x
_atom_site_fract_y
_atom_site_fract_z
_atom_site_occupancy
Pm1 0.2207 0.3616 0.2318 1
Pm2 0.2286 0.9125 0.2301 1
Ho1 0.2434 0.3015 0.8687 1
Ho2 0.2466 0.9672 0.5795 1
Ho3 0.2773 0.7725 0.9320 1
Ho4 0.5000 0.5000 0.5000 1
Sc1 0.0000 0.5000 0.5000 1
```

Theoretical density, g cm⁻³: 7.7
DOS at the Fermi energy, states/eV/cell: 21.395
M_tot, μB per atom: 0.000

Most favorable structure: #x. The second most favorable one is 4.4 kJ/mol of atoms above it.

#w
Crystalline Pm4Ho5Sc2 at its relaxed geometry, computed with PBE-GGA.

Geometry as CIF:
```
data_Pm4Ho5Sc2
_symmetry_space_group_name_H-M 'C 1 2/m 1'
_symmetry_Int_Tables_number 12
_symmetry_space_group_name_Hall '-C 2y'
_cell_length_a 23.5256
_cell_length_b 3.4926
_cell_length_c 8.5148
_cell_angle_alpha 90.00
_cell_angle_beta 94.90
_cell_angle_gamma 90.00
loop_
_atom_site_label
_atom_site_fract_x
_atom_site_fract_y
_atom_site_fract_z
_atom_site_occupancy
Pm1 0.0387 0.0000 0.3465 1
Pm2 0.2241 0.5000 0.8248 1
Ho1 0.0000 0.5000 0.0000 1
Ho2 0.1289 0.0000 0.0396 1
Ho3 0.1830 0.0000 0.4751 1
Sc1 0.0880 0.5000 0.6975 1
```

Theoretical density, g cm⁻³: 7.1
DOS at the Fermi energy, states/eV/cell: 33.909
M_tot, μB per atom: 0.000

#x
Crystalline Pm4Ho5Sc2 at its relaxed geometry, computed with PBE-GGA.

Geometry as CIF:
```
data_Pm4Ho5Sc2
_symmetry_space_group_name_H-M 'C 1 2/m 1'
_symmetry_Int_Tables_number 12
_symmetry_space_group_name_Hall '-C 2y'
_cell_length_a 17.9834
_cell_length_b 4.9820
_cell_length_c 7.8760
_cell_angle_alpha 90.00
_cell_angle_beta 105.32
_cell_angle_gamma 90.00
loop_
_atom_site_label
_atom_site_fract_x
_atom_site_fract_y
_atom_site_fract_z
_atom_site_occupancy
Pm1 0.0440 0.0000 0.2226 1
Pm2 0.1823 0.5000 0.4056 1
Ho1 0.0000 0.5000 0.5000 1
Ho2 0.1353 0.0000 0.6861 1
Ho3 0.2266 0.0000 0.1303 1
Sc1 0.0902 0.5000 0.9533 1
```

Theoretical density, g cm⁻³: 7.3
DOS at the Fermi energy, states/eV/cell: 31.362
M_tot, μB per atom: 0.000

Most favorable structure: #x. The second most favorable one is 7.3 kJ/mol of atoms above it.

#w
Crystalline Pm12HoSc6 at its relaxed geometry, computed with PBE-GGA.

Geometry as CIF:
```
data_Pm12HoSc6
_symmetry_space_group_name_H-M 'R -3'
_symmetry_Int_Tables_number 148
_symmetry_space_group_name_Hall '-R 3'
_cell_length_a 14.4534
_cell_length_b 14.4534
_cell_length_c 10.1761
_cell_angle_alpha 90.00
_cell_angle_beta 90.00
_cell_angle_gamma 120.00
loop_
_atom_site_label
_atom_site_fract_x
_atom_site_fract_y
_atom_site_fract_z
_atom_site_occupancy
Pm1 0.0532 0.2522 0.0799 1
Pm2 0.0634 0.2198 0.4155 1
Ho1 0.0000 0.0000 0.0000 1
Sc1 0.0536 0.2214 0.7594 1
```

Theoretical density, g cm⁻³: 5.9
DOS at the Fermi energy, states/eV/cell: 87.200
M_tot, μB per atom: 0.000

#x
Crystalline Pm12HoSc6 at its relaxed geometry, computed with PBE-GGA.

Geometry as CIF:
```
data_Pm12HoSc6
_symmetry_space_group_name_H-M 'I m -3'
_symmetry_Int_Tables_number 204
_symmetry_space_group_name_Hall '-I 2 2 3'
_cell_length_a 10.6232
_cell_length_b 10.6232
_cell_length_c 10.6232
_cell_angle_alpha 90.00
_cell_angle_beta 90.00
_cell_angle_gamma 90.00
loop_
_atom_site_label
_atom_site_fract_x
_atom_site_fract_y
_atom_site_fract_z
_atom_site_occupancy
Pm1 0.0000 0.2685 0.1984 1
Ho1 0.0000 0.0000 0.0000 1
Sc1 0.0000 0.1379 0.5000 1
```

Theoretical density, g cm⁻³: 6.0
DOS at the Fermi energy, states/eV/cell: 66.092
M_tot, μB per atom: 0.000

Most favorable structure: #x. The second most favorable one is 3.7 kJ/mol of atoms above it.

#w
Crystalline PmHo7Sc2 at its relaxed geometry, computed with PBE-GGA.

Geometry as CIF:
```
data_PmHo7Sc2
_symmetry_space_group_name_H-M 'C m m m'
_symmetry_Int_Tables_number 65
_symmetry_space_group_name_Hall '-C 2 2'
_cell_length_a 8.7601
_cell_length_b 15.0715
_cell_length_c 5.5627
_cell_angle_alpha 90.00
_cell_angle_beta 90.00
_cell_angle_gamma 90.00
loop_
_atom_site_label
_atom_site_fract_x
_atom_site_fract_y
_atom_site_fract_z
_atom_site_occupancy
Pm1 0.0000 0.0000 0.0000 1
Ho1 0.0000 0.2408 0.0000 1
Ho2 0.0000 0.5000 0.5000 1
Ho3 0.1810 0.1214 0.5000 1
Sc1 0.0000 0.2960 0.5000 1
```

Theoretical density, g cm⁻³: 6.3
DOS at the Fermi energy, states/eV/cell: 28.631
M_tot, μB per atom: 0.000

#x
Crystalline PmHo7Sc2 at its relaxed geometry, computed with PBE-GGA.

Geometry as CIF:
```
data_PmHo7Sc2
_symmetry_space_group_name_H-M 'C 1 2/m 1'
_symmetry_Int_Tables_number 12
_symmetry_space_group_name_Hall '-C 2y'
_cell_length_a 16.3880
_cell_length_b 5.4594
_cell_length_c 6.8698
_cell_angle_alpha 90.00
_cell_angle_beta 102.16
_cell_angle_gamma 90.00
loop_
_atom_site_label
_atom_site_fract_x
_atom_site_fract_y
_atom_site_fract_z
_atom_site_occupancy
Pm1 0.0000 0.0000 0.0000 1
Ho1 0.0000 0.0000 0.5000 1
Ho2 0.0980 0.5000 0.3002 1
Ho3 0.1026 0.5000 0.8017 1
Ho4 0.2122 0.0000 0.3540 1
Sc1 0.2159 0.0000 0.8587 1
```

Theoretical density, g cm⁻³: 7.7
DOS at the Fermi energy, states/eV/cell: 35.068
M_tot, μB per atom: 0.000

Most favorable structure: #x. The second most favorable one is 58.3 kJ/mol of atoms above it.

#w
Crystalline Pm7Ho3Sc at its relaxed geometry, computed with PBE-GGA.

Geometry as CIF:
```
data_Pm7Ho3Sc
_symmetry_space_group_name_H-M 'C 1 2/c 1'
_symmetry_Int_Tables_number 15
_symmetry_space_group_name_Hall '-C 2yc'
_cell_length_a 19.0466
_cell_length_b 7.0636
_cell_length_c 12.6111
_cell_angle_alpha 90.00
_cell_angle_beta 116.97
_cell_angle_gamma 90.00
loop_
_atom_site_label
_atom_site_fract_x
_atom_site_fract_y
_atom_site_fract_z
_atom_site_occupancy
Pm1 0.0000 0.1706 0.2500 1
Pm2 0.1545 0.4976 0.7735 1
Pm3 0.1646 0.2419 0.0233 1
Pm4 0.1670 0.2462 0.5272 1
Ho1 0.0000 0.5000 0.0000 1
Ho2 0.1742 0.0004 0.2713 1
Sc1 0.0000 0.0000 0.0000 1
```

Theoretical density, g cm⁻³: 6.8
DOS at the Fermi energy, states/eV/cell: 67.385
M_tot, μB per atom: 0.000

#x
Crystalline Pm7Ho3Sc at its relaxed geometry, computed with PBE-GGA.

Geometry as CIF:
```
data_Pm7Ho3Sc
_symmetry_space_group_name_H-M 'C 1 2/m 1'
_symmetry_Int_Tables_number 12
_symmetry_space_group_name_Hall '-C 2y'
_cell_length_a 12.6785
_cell_length_b 11.3215
_cell_length_c 5.7962
_cell_angle_alpha 90.00
_cell_angle_beta 117.17
_cell_angle_gamma 90.00
loop_
_atom_site_label
_atom_site_fract_x
_atom_site_fract_y
_atom_site_fract_z
_atom_site_occupancy
Pm1 0.0000 0.0000 0.0000 1
Pm2 0.1898 0.2872 0.6897 1
Pm3 0.2141 0.5000 0.2128 1
Ho1 0.0000 0.2969 0.0000 1
Ho2 0.0000 0.5000 0.5000 1
Sc1 0.0000 0.0000 0.5000 1
```

Theoretical density, g cm⁻³: 7.0
DOS at the Fermi energy, states/eV/cell: 28.670
M_tot, μB per atom: 0.000

Most favorable structure: #w. The second most favorable one is 3.6 kJ/mol of atoms above it.

#w
Crystalline Pm8Ho2Sc at its relaxed geometry, computed with PBE-GGA.

Geometry as CIF:
```
data_Pm8Ho2Sc
_symmetry_space_group_name_H-M 'C 1 2/m 1'
_symmetry_Int_Tables_number 12
_symmetry_space_group_name_Hall '-C 2y'
_cell_length_a 18.9432
_cell_length_b 6.9924
_cell_length_c 5.7273
_cell_angle_alpha 90.00
_cell_angle_beta 92.93
_cell_angle_gamma 90.00
loop_
_atom_site_label
_atom_site_fract_x
_atom_site_fract_y
_atom_site_fract_z
_atom_site_occupancy
Pm1 0.0451 0.0000 0.2330 1
Pm2 0.1287 0.2359 0.7377 1
Pm3 0.1838 0.5000 0.2283 1
Ho1 0.2167 0.0000 0.2607 1
Sc1 0.0000 0.5000 0.0000 1
```

Theoretical density, g cm⁻³: 6.7
DOS at the Fermi energy, states/eV/cell: 33.489
M_tot, μB per atom: 0.000

#x
Crystalline Pm8Ho2Sc at its relaxed geometry, computed with PBE-GGA.

Geometry as CIF:
```
data_Pm8Ho2Sc
_symmetry_space_group_name_H-M 'I m m m'
_symmetry_Int_Tables_number 71
_symmetry_space_group_name_Hall '-I 2 2'
_cell_length_a 5.6770
_cell_length_b 7.9767
_cell_length_c 16.1910
_cell_angle_alpha 90.00
_cell_angle_beta 90.00
_cell_angle_gamma 90.00
loop_
_atom_site_label
_atom_site_fract_x
_atom_site_fract_y
_atom_site_fract_z
_atom_site_occupancy
Pm1 0.0000 0.0000 0.1675 1
Pm2 0.0000 0.2085 0.3686 1
Pm3 0.0000 0.2822 0.0000 1
Ho1 0.0000 0.5000 0.1997 1
Sc1 0.0000 0.5000 0.5000 1
```

Theoretical density, g cm⁻³: 7.0
DOS at the Fermi energy, states/eV/cell: 34.022
M_tot, μB per atom: 0.000

Most favorable structure: #x. The second most favorable one is 6.7 kJ/mol of atoms above it.